Run 1
Here is Ac2PmSn after structural relaxation from Alexandria. Energies are from GGA-PBE.

Geometry as CIF:
```
data_Ac2PmSn
_chemical_formula_sum 'Ac2 Pm1 Sn1'
_cell_length_a 5.2105
_cell_length_b 5.2105
_cell_length_c 5.1406
_cell_angle_alpha 90.00
_cell_angle_beta 90.00
_cell_angle_gamma 90.00
_symmetry_space_group_name_H-M 'P 4/m m m'
_symmetry_Int_Tables_number 123
_symmetry_space_group_name_Hall '-P 4 2'
loop_
_atom_site_label
_atom_site_type_symbol
_atom_site_fract_x
_atom_site_fract_y
_atom_site_fract_z
Ac1 Ac 0.0000 0.5000 0.0000
Pm1 Pm 0.0000 0.0000 0.5000
Sn1 Sn 0.5000 0.5000 0.5000
```

* magnetization: 0.00 μB/cell
* N(E_F): 5.071 states/eV/cell

Run 2
Here is Ac2PmSn after structural relaxation from Alexandria. Energies are from GGA-PBE.

Geometry as CIF:
```
data_Ac2PmSn
_chemical_formula_sum 'Ac8 Pm4 Sn4'
_cell_length_a 8.3258
_cell_length_b 8.3258
_cell_length_c 8.3258
_cell_angle_alpha 90.00
_cell_angle_beta 90.00
_cell_angle_gamma 90.00
_symmetry_space_group_name_H-M 'F m -3 m'
_symmetry_Int_Tables_number 225
_symmetry_space_group_name_Hall '-F 4 2 3'
loop_
_atom_site_label
_atom_site_type_symbol
_atom_site_fract_x
_atom_site_fract_y
_atom_site_fract_z
Ac1 Ac 0.2500 0.2500 0.2500
Pm1 Pm 0.0000 0.0000 0.0000
Sn1 Sn 0.0000 0.0000 0.5000
```

* magnetization: 0.00 μB/cell
* N(E_F): 22.781 states/eV/cell

Run 3
Here is Ac2PmSn after structural relaxation from Alexandria. Energies are from GGA-PBE.

Geometry as CIF:
```
data_Ac2PmSn
_chemical_formula_sum 'Ac8 Pm4 Sn4'
_cell_length_a 12.3219
_cell_length_b 6.7408
_cell_length_c 7.3327
_cell_angle_alpha 90.00
_cell_angle_beta 105.56
_cell_angle_gamma 90.00
_symmetry_space_group_name_H-M 'C 1 2/c 1'
_symmetry_Int_Tables_number 15
loop_
_symmetry_equiv_pos_as_xyz
'x,y,z'
'-x,-y,-z'
'-x,y,-z+1/2'
'x,-y,z+1/2'
'x+1/2,y+1/2,z'
'-x+1/2,-y+1/2,-z'
'-x+1/2,y+1/2,-z+1/2'
'x+1/2,-y+1/2,z+1/2'
loop_
_atom_site_label
_atom_site_type_symbol
_atom_site_fract_x
_atom_site_fract_y
_atom_site_fract_z
Ac1 Ac 0.2221 0.0121 0.1042
Pm1 Pm 0.0000 0.3020 0.2500
Sn1 Sn 0.0000 0.2162 0.7500
```

* magnetization: 0.00 μB/cell
* N(E_F): 20.033 states/eV/cell

Which one sits at the top of the stability order? run 1 does.

Run 1
Here is AcPm2Sn after structural relaxation from Alexandria. Energies are from GGA-PBE.

Geometry as CIF:
```
data_AcPm2Sn
_chemical_formula_sum 'Ac4 Pm8 Sn4'
_cell_length_a 7.9894
_cell_length_b 7.9894
_cell_length_c 7.9894
_cell_angle_alpha 90.00
_cell_angle_beta 90.00
_cell_angle_gamma 90.00
_symmetry_space_group_name_H-M 'F m -3 m'
_symmetry_Int_Tables_number 225
_symmetry_space_group_name_Hall '-F 4 2 3'
loop_
_atom_site_label
_atom_site_type_symbol
_atom_site_fract_x
_atom_site_fract_y
_atom_site_fract_z
Ac1 Ac 0.0000 0.0000 0.0000
Pm1 Pm 0.2500 0.2500 0.2500
Sn1 Sn 0.0000 0.0000 0.5000
```

* magnetization: 0.00 μB/cell
* N(E_F): 26.984 states/eV/cell

Run 2
Here is AcPm2Sn after structural relaxation from Alexandria. Energies are from GGA-PBE.

Geometry as CIF:
```
data_AcPm2Sn
_chemical_formula_sum 'Ac1 Pm2 Sn1'
_cell_length_a 4.1586
_cell_length_b 4.1586
_cell_length_c 7.6542
_cell_angle_alpha 90.00
_cell_angle_beta 90.00
_cell_angle_gamma 90.00
_symmetry_space_group_name_H-M 'P 4/m m m'
_symmetry_Int_Tables_number 123
_symmetry_space_group_name_Hall '-P 4 2'
loop_
_atom_site_label
_atom_site_type_symbol
_atom_site_fract_x
_atom_site_fract_y
_atom_site_fract_z
Ac1 Ac 0.0000 0.0000 0.0000
Pm1 Pm 0.5000 0.5000 0.2976
Sn1 Sn 0.0000 0.0000 0.5000
```

* magnetization: 0.00 μB/cell
* N(E_F): 5.865 states/eV/cell

Run 3
Here is AcPm2Sn after structural relaxation from Alexandria. Energies are from GGA-PBE.

Geometry as CIF:
```
data_AcPm2Sn
_chemical_formula_sum 'Ac1 Pm2 Sn1'
_cell_length_a 5.0954
_cell_length_b 5.0954
_cell_length_c 4.9647
_cell_angle_alpha 90.00
_cell_angle_beta 90.00
_cell_angle_gamma 90.00
_symmetry_space_group_name_H-M 'P 4/m m m'
_symmetry_Int_Tables_number 123
_symmetry_space_group_name_Hall '-P 4 2'
loop_
_atom_site_label
_atom_site_type_symbol
_atom_site_fract_x
_atom_site_fract_y
_atom_site_fract_z
Ac1 Ac 0.0000 0.0000 0.0000
Pm1 Pm 0.0000 0.5000 0.5000
Sn1 Sn 0.5000 0.5000 0.0000
```

* magnetization: 0.00 μB/cell
* N(E_F): 4.853 states/eV/cell

Run 4
Here is AcPm2Sn after structural relaxation from Alexandria. Energies are from GGA-PBE.

Geometry as CIF:
```
data_AcPm2Sn
_chemical_formula_sum 'Ac3 Pm6 Sn3'
_cell_length_a 3.7230
_cell_length_b 3.7230
_cell_length_c 36.0172
_cell_angle_alpha 90.00
_cell_angle_beta 90.00
_cell_angle_gamma 120.00
_symmetry_space_group_name_H-M 'R -3 m'
_symmetry_Int_Tables_number 166
_symmetry_space_group_name_Hall '-R 3 2"'
loop_
_atom_site_label
_atom_site_type_symbol
_atom_site_fract_x
_atom_site_fract_y
_atom_site_fract_z
Ac1 Ac 0.0000 0.0000 0.0000
Pm1 Pm 0.0000 0.0000 0.1000
Sn1 Sn 0.0000 0.0000 0.5000
```

* magnetization: 0.00 μB/cell
* N(E_F): 16.658 states/eV/cell

Which one sits at the top of the stability order? run 3 does.

Run 1
Here is AcPm2Sn after structural relaxation from Alexandria. Energies are from GGA-PBE.

Geometry as CIF:
```
data_AcPm2Sn
_chemical_formula_sum 'Ac3 Pm6 Sn3'
_cell_length_a 3.8697
_cell_length_b 3.8697
_cell_length_c 32.7438
_cell_angle_alpha 90.00
_cell_angle_beta 90.00
_cell_angle_gamma 120.00
_symmetry_space_group_name_H-M 'R 3 m'
_symmetry_Int_Tables_number 160
_symmetry_space_group_name_Hall 'R 3 -2"'
loop_
_atom_site_label
_atom_site_type_symbol
_atom_site_fract_x
_atom_site_fract_y
_atom_site_fract_z
Ac1 Ac 0.0000 0.0000 0.0000
Pm1 Pm 0.0000 0.0000 0.5720
Pm2 Pm 0.0000 0.0000 0.7618
Sn1 Sn 0.0000 0.0000 0.1667
```

* magnetization: 0.00 μB/cell
* N(E_F): 13.615 states/eV/cell

Run 2
Here is AcPm2Sn after structural relaxation from Alexandria. Energies are from GGA-PBE.

Geometry as CIF:
```
data_AcPm2Sn
_chemical_formula_sum 'Ac4 Pm8 Sn4'
_cell_length_a 13.8748
_cell_length_b 5.5178
_cell_length_c 6.9890
_cell_angle_alpha 90.00
_cell_angle_beta 90.00
_cell_angle_gamma 90.00
_symmetry_space_group_name_H-M 'P n m a'
_symmetry_Int_Tables_number 62
loop_
_symmetry_equiv_pos_as_xyz
'x,y,z'
'-x,-y,-z'
'-x+1/2,-y,z+1/2'
'x+1/2,y,-z+1/2'
'x+1/2,-y+1/2,-z+1/2'
'-x+1/2,y+1/2,z+1/2'
'-x,y+1/2,-z'
'x,-y+1/2,z'
loop_
_atom_site_label
_atom_site_type_symbol
_atom_site_fract_x
_atom_site_fract_y
_atom_site_fract_z
Ac1 Ac 0.1397 0.2500 0.0775
Pm1 Pm 0.0451 0.7500 0.3463
Pm2 Pm 0.2001 0.2500 0.5884
Sn1 Sn 0.1050 0.7500 0.7954
```

* magnetization: 0.00 μB/cell
* N(E_F): 16.698 states/eV/cell

Which one sits at the top of the stability order? run 2 does.

Run 1
Here is AcPmSn2 after structural relaxation from Alexandria. Energies are from GGA-PBE.

Geometry as CIF:
```
data_AcPmSn2
_chemical_formula_sum 'Ac4 Pm4 Sn8'
_cell_length_a 7.9855
_cell_length_b 7.9855
_cell_length_c 7.9855
_cell_angle_alpha 90.00
_cell_angle_beta 90.00
_cell_angle_gamma 90.00
_symmetry_space_group_name_H-M 'F m -3 m'
_symmetry_Int_Tables_number 225
_symmetry_space_group_name_Hall '-F 4 2 3'
loop_
_atom_site_label
_atom_site_type_symbol
_atom_site_fract_x
_atom_site_fract_y
_atom_site_fract_z
Ac1 Ac 0.0000 0.0000 0.0000
Pm1 Pm 0.0000 0.0000 0.5000
Sn1 Sn 0.2500 0.2500 0.2500
```

* magnetization: 0.00 μB/cell
* N(E_F): 22.605 states/eV/cell

Run 2
Here is AcPmSn2 after structural relaxation from Alexandria. Energies are from GGA-PBE.

Geometry as CIF:
```
data_AcPmSn2
_chemical_formula_sum 'Ac1 Pm1 Sn2'
_cell_length_a 5.2114
_cell_length_b 5.2114
_cell_length_c 4.5900
_cell_angle_alpha 90.00
_cell_angle_beta 90.00
_cell_angle_gamma 90.00
_symmetry_space_group_name_H-M 'P 4/m m m'
_symmetry_Int_Tables_number 123
_symmetry_space_group_name_Hall '-P 4 2'
loop_
_atom_site_label
_atom_site_type_symbol
_atom_site_fract_x
_atom_site_fract_y
_atom_site_fract_z
Ac1 Ac 0.0000 0.0000 0.0000
Pm1 Pm 0.5000 0.5000 0.0000
Sn1 Sn 0.0000 0.5000 0.5000
```

* magnetization: 0.00 μB/cell
* N(E_F): 4.217 states/eV/cell

Run 3
Here is AcPmSn2 after structural relaxation from Alexandria. Energies are from GGA-PBE.

Geometry as CIF:
```
data_AcPmSn2
_chemical_formula_sum 'Ac2 Pm2 Sn4'
_cell_length_a 4.4800
_cell_length_b 4.8348
_cell_length_c 12.0930
_cell_angle_alpha 90.00
_cell_angle_beta 90.00
_cell_angle_gamma 90.00
_symmetry_space_group_name_H-M 'A m m 2'
_symmetry_Int_Tables_number 38
loop_
_symmetry_equiv_pos_as_xyz
'x,y,z'
'-x,-y,z'
'-x,y,z'
'x,-y,z'
'x,y+1/2,z+1/2'
'-x,-y+1/2,z+1/2'
'-x,y+1/2,z+1/2'
'x,-y+1/2,z+1/2'
loop_
_atom_site_label
_atom_site_type_symbol
_atom_site_fract_x
_atom_site_fract_y
_atom_site_fract_z
Ac1 Ac 0.0000 0.0000 0.0000
Pm1 Pm 0.5000 0.0000 0.7275
Sn1 Sn 0.0000 0.0000 0.2730
Sn2 Sn 0.5000 0.0000 0.4455
```

* magnetization: 0.00 μB/cell
* N(E_F): 7.156 states/eV/cell

Run 4
Here is AcPmSn2 after structural relaxation from Alexandria. Energies are from GGA-PBE.

Geometry as CIF:
```
data_AcPmSn2
_chemical_formula_sum 'Ac1 Pm1 Sn2'
_cell_length_a 3.7608
_cell_length_b 4.5246
_cell_length_c 7.2756
_cell_angle_alpha 90.00
_cell_angle_beta 90.21
_cell_angle_gamma 90.00
_symmetry_space_group_name_H-M 'P 1 2/m 1'
_symmetry_Int_Tables_number 10
loop_
_symmetry_equiv_pos_as_xyz
'x,y,z'
'-x,-y,-z'
'-x,y,-z'
'x,-y,z'
loop_
_atom_site_label
_atom_site_type_symbol
_atom_site_fract_x
_atom_site_fract_y
_atom_site_fract_z
Ac1 Ac 0.0000 0.0000 0.0000
Pm1 Pm 0.0000 0.0000 0.5000
Sn1 Sn 0.4994 0.5000 0.2777
```

* magnetization: 0.00 μB/cell
* N(E_F): 3.428 states/eV/cell

Which one sits at the top of the stability order? run 3 does.

Run 1
Here is Ac3Pm2Sn3 after structural relaxation from Alexandria. Energies are from GGA-PBE.

Geometry as CIF:
```
data_Ac3Pm2Sn3
_chemical_formula_sum 'Ac6 Pm4 Sn6'
_cell_length_a 9.6814
_cell_length_b 9.6814
_cell_length_c 6.9508
_cell_angle_alpha 90.00
_cell_angle_beta 90.00
_cell_angle_gamma 120.00
_symmetry_space_group_name_H-M 'P 63/m c m'
_symmetry_Int_Tables_number 193
_symmetry_space_group_name_Hall '-P 6c 2'
loop_
_atom_site_label
_atom_site_type_symbol
_atom_site_fract_x
_atom_site_fract_y
_atom_site_fract_z
Ac1 Ac 0.0000 0.2472 0.2500
Pm1 Pm 0.3333 0.6667 0.0000
Sn1 Sn 0.0000 0.3994 0.7500
```

* magnetization: 0.00 μB/cell
* N(E_F): 18.909 states/eV/cell

Run 2
Here is Ac3Pm2Sn3 after structural relaxation from Alexandria. Energies are from GGA-PBE.

Geometry as CIF:
```
data_Ac3Pm2Sn3
_chemical_formula_sum 'Ac6 Pm4 Sn6'
_cell_length_a 4.4758
_cell_length_b 5.1954
_cell_length_c 23.8106
_cell_angle_alpha 90.00
_cell_angle_beta 90.00
_cell_angle_gamma 90.00
_symmetry_space_group_name_H-M 'I m m m'
_symmetry_Int_Tables_number 71
_symmetry_space_group_name_Hall '-I 2 2'
loop_
_atom_site_label
_atom_site_type_symbol
_atom_site_fract_x
_atom_site_fract_y
_atom_site_fract_z
Ac1 Ac 0.0000 0.0000 0.0000
Ac2 Ac 0.0000 0.5000 0.1183
Pm1 Pm 0.0000 0.0000 0.2576
Sn1 Sn 0.0000 0.0000 0.5000
Sn2 Sn 0.0000 0.5000 0.3472
```

* magnetization: 0.00 μB/cell
* N(E_F): 16.132 states/eV/cell

Which one sits at the top of the stability order? run 1 does.

Run 1
Here is SrAcPm after structural relaxation from Alexandria. Energies are from GGA-PBE.

Geometry as CIF:
```
data_SrAcPm
_chemical_formula_sum 'Sr4 Ac4 Pm4'
_cell_length_a 5.4844
_cell_length_b 17.0437
_cell_length_c 5.5764
_cell_angle_alpha 90.00
_cell_angle_beta 90.00
_cell_angle_gamma 90.00
_symmetry_space_group_name_H-M 'C m c m'
_symmetry_Int_Tables_number 63
_symmetry_space_group_name_Hall '-C 2c 2'
loop_
_atom_site_label
_atom_site_type_symbol
_atom_site_fract_x
_atom_site_fract_y
_atom_site_fract_z
Sr1 Sr 0.0000 0.2488 0.2500
Ac1 Ac 0.0000 0.0742 0.7500
Pm1 Pm 0.0000 0.4288 0.7500
```

* magnetization: 0.00 μB/cell
* N(E_F): 15.620 states/eV/cell

Run 2
Here is SrAcPm after structural relaxation from Alexandria. Energies are from GGA-PBE.

Geometry as CIF:
```
data_SrAcPm
_chemical_formula_sum 'Sr1 Ac1 Pm1'
_cell_length_a 3.9381
_cell_length_b 3.9381
_cell_length_c 9.6963
_cell_angle_alpha 90.00
_cell_angle_beta 90.00
_cell_angle_gamma 120.00
_symmetry_space_group_name_H-M 'P 3 m 1'
_symmetry_Int_Tables_number 156
loop_
_symmetry_equiv_pos_as_xyz
'x,y,z'
'-y,x-y,z'
'-x+y,-x,z'
'-y,-x,z'
'-x+y,y,z'
'x,x-y,z'
loop_
_atom_site_label
_atom_site_type_symbol
_atom_site_fract_x
_atom_site_fract_y
_atom_site_fract_z
Sr1 Sr 0.0000 0.0000 0.0000
Ac1 Ac 0.3333 0.6667 0.6382
Pm1 Pm 0.6667 0.3333 0.3357
```

* magnetization: 0.00 μB/cell
* N(E_F): 3.903 states/eV/cell

Which one sits at the top of the stability order? run 1 does.